# PBEsol Cr2InW, optimized geometry
data_Cr2InW
_space_group_name_H-M_alt 'P 4 m m'
_space_group_IT_number 99
_space_group_name_Hall 'P 4 -2'
_cell_length_a 2.863
_cell_length_b 2.863
_cell_length_c 7.103
_cell_angle_alpha 90.00
_cell_angle_beta 90.00
_cell_angle_gamma 90.00
loop_
_atom_site_label
_atom_site_type_symbol
_atom_site_fract_x
_atom_site_fract_y
_atom_site_fract_z
Cr1 Cr 0.000 0.000 0.000
Cr2 Cr 0.500 0.500 0.168
In1 In 0.000 0.000 0.449
W1 W 0.500 0.500 0.764
# Energy ... -8.98 eV per atom
# DOS(E_F) ... 2.90 states/eV/f.u.
# Total moment ... 0.00 Bohr magnetons per cell
# Crystal system ... tetragonal
# E_form ... 0.34 eV/atom